[1]
The following is a GGA-PBE calculation of an optimized crystal structure of LiCd2InHg8, from the Alexandria database.

* calculated total energy: -0.74 eV per atom
* ΔE_f: 0.01 eV/atom

Unit cell a=6.537 b=6.537 c=8.437 alpha=90.00 beta=90.00 gamma=120.00
Element x y z (fractional)
Li: 0.000 0.000 0.000
Cd: 0.333 0.667 0.913
Cd: 0.667 0.333 0.087
In: 0.000 0.000 0.500
Hg: 0.175 0.349 0.224
Hg: 0.175 0.825 0.224
Hg: 0.333 0.667 0.560
Hg: 0.349 0.175 0.776
Hg: 0.651 0.825 0.224
Hg: 0.667 0.333 0.440
Hg: 0.825 0.175 0.776
Hg: 0.825 0.651 0.776



[2]
The following is a GGA-PBE calculation of an optimized crystal structure of ZrGa2As2, from the Alexandria database.

* calculated total energy: -5.03 eV per atom
* ΔE_f: -0.25 eV/atom

Unit cell a=7.059 b=7.059 c=3.928 alpha=90.00 beta=90.00 gamma=90.00
Element x y z (fractional)
Zr: 0.000 0.000 0.000
Zr: 0.500 0.500 0.000
Ga: 0.175 0.325 0.500
Ga: 0.325 0.825 0.500
Ga: 0.675 0.175 0.500
Ga: 0.825 0.675 0.500
As: 0.138 0.638 0.000
As: 0.362 0.138 0.000
As: 0.638 0.862 0.000
As: 0.862 0.362 0.000



[3]
The following is a GGA-PBE calculation of an optimized crystal structure of Pm3P3Ir2, from the Alexandria database.

* calculated total energy: -7.11 eV per atom
* ΔE_f: -1.08 eV/atom

Unit cell a=5.755 b=5.755 c=14.205 alpha=90.00 beta=90.00 gamma=136.91
Element x y z (fractional)
Pm: 0.079 0.921 0.607
Pm: 0.079 0.921 0.893
Pm: 0.364 0.636 0.750
Pm: 0.636 0.364 0.250
Pm: 0.921 0.079 0.107
Pm: 0.921 0.079 0.393
P: 0.340 0.660 0.250
P: 0.355 0.645 0.541
P: 0.355 0.645 0.959
P: 0.645 0.355 0.041
P: 0.645 0.355 0.459
P: 0.660 0.340 0.750
Ir: 0.212 0.788 0.101
Ir: 0.212 0.788 0.399
Ir: 0.788 0.212 0.601
Ir: 0.788 0.212 0.899



[4]
The following is a GGA-PBE calculation of an optimized crystal structure of RbSnB, from the Alexandria database.

* calculated total energy: -3.18 eV per atom
* ΔE_f: 0.71 eV/atom

Unit cell a=4.959 b=4.959 c=4.095 alpha=90.00 beta=90.00 gamma=90.00
Element x y z (fractional)
Rb: 0.000 0.000 0.000
Sn: 0.500 0.500 0.500
B: 0.500 0.500 0.000